(1)
# Mg2AuBr

A geometry-optimized Mg2AuBr structure (GGA-PBE, Alexandria via LeMat-Bulk).

As for the symmetry: No. 71. As for the density: 5.64 g/cm3. The value obtained for the total energy is -2.451 eV/atom. Its uncorrected formation energy is -40.2 kJ/mol of atoms.

Cell lengths 5.5869, 5.5869, 5.5869 Å; angles 142.82, 110.95, 81.12 degrees
Element x y z (fractional)
Au 0.2500 0.7500 0.5000
Br 0.7500 0.2500 0.5000
Mg 0.0062 0.0062 0.0000
Mg 0.4938 0.4938 0.0000


(2)
# YCu2Pt4

A geometry-optimized YCu2Pt4 structure (GGA-PBE, Alexandria via LeMat-Bulk).

Its formation energy is -499 meV per atom. As for the symmetry: No. 12. As for the density: 14.24 g/cm3. The value obtained for the total energy is -6.044 eV/atom.

Cell lengths 5.1382, 5.4098, 5.4098 Å; angles 77.01, 61.53, 61.53 degrees
Element x y z (fractional)
Y 0.0000 0.0000 0.0000
Pt 0.7007 0.5994 0.9996
Pt 0.2993 0.4006 0.0004
Pt 0.7007 0.9996 0.5994
Pt 0.2993 0.0004 0.4006
Cu 0.7495 0.5003 0.5003
Cu 0.2505 0.4997 0.4997


(3)
# ZrBe

A geometry-optimized ZrBe structure (GGA-PBE, Alexandria via LeMat-Bulk).

Its formation energy is 18 meV per atom. As for the symmetry: No. 194. As for the density: 5.11 g/cm3. The value obtained for the total energy is -6.119 eV/atom.

Cell lengths 4.3064, 4.3064, 4.0579 Å; angles 90.00, 90.00, 120.00 degrees
Element x y z (fractional)
Be 0.0000 0.0000 0.0000
Be 0.0000 0.0000 0.5000
Zr 0.3333 0.6667 0.2500
Zr 0.6667 0.3333 0.7500


(4)
# Sc2NbAuN

A geometry-optimized Sc2NbAuN structure (GGA-PBE, Alexandria via LeMat-Bulk).

As for the symmetry: No. 123. As for the density: 7.94 g/cm3. The value obtained for the total energy is -7.819 eV/atom. Its uncorrected formation energy is -91.8 kJ/mol of atoms.

Cell lengths 4.3926, 4.3926, 4.2707 Å; angles 90.00, 90.00, 90.00 degrees
Element x y z (fractional)
Sc 0.0000 0.5000 0.0000
Sc 0.5000 0.0000 0.0000
Nb 0.0000 0.0000 0.5000
Au 0.5000 0.5000 0.5000
N 0.0000 0.0000 0.0000


(5)
# Pm4PrHo3

A geometry-optimized Pm4PrHo3 structure (GGA-PBE, Alexandria via LeMat-Bulk).

Its formation energy is 27 meV per atom. As for the symmetry: No. 31. As for the density: 7.49 g/cm3. The value obtained for the total energy is -4.662 eV/atom.

Cell lengths 6.3322, 7.3375, 11.5970 Å; angles 90.00, 90.00, 90.00 degrees
Element x y z (fractional)
Pm 0.1446 0.8721 0.0000
Pm 0.6515 0.1273 0.0000
Pm 0.9815 0.1254 0.2535
Pm 0.4815 0.8746 0.2465
Pm 0.1515 0.8727 0.5000
Pm 0.6446 0.1279 0.5000
Pm 0.4815 0.8746 0.7535
Pm 0.9815 0.1254 0.7465
Pr 0.1473 0.3748 0.0000
Pr 0.6473 0.6252 0.5000
Ho 0.6472 0.6228 0.0000
Ho 0.9807 0.6227 0.2501
Ho 0.4807 0.3773 0.2499
Ho 0.1472 0.3772 0.5000
Ho 0.4807 0.3773 0.7501
Ho 0.9807 0.6227 0.7499


(6)
# BaIn2Tc

A geometry-optimized BaIn2Tc structure (GGA-PBE, Alexandria via LeMat-Bulk).

Its formation energy is 241 meV per atom. As for the symmetry: No. 25. As for the density: 6.81 g/cm3. The value obtained for the total energy is -4.201 eV/atom.

Cell lengths 4.3480, 3.4654, 7.5236 Å; angles 90.00, 90.00, 90.00 degrees
Element x y z (fractional)
Ba 0.5000 0.6251 0.7473
In 0.0000 0.1251 0.0571
In 0.5000 0.1249 0.3466
Tc 0.0000 0.6250 0.3491